K2TiAuF6 | GGA-PBE | optimized geometry

It has space group Fm-3m (No. 225), with a = 9.3130 Å, b = 9.3130 Å, c = 9.3130 Å, α = 90.00°, β = 90.00° and γ = 90.00°. The distinct sites, in fractional coordinates, are K at (0.2500, 0.2500, 0.2500), Ti at (0.0000, 0.0000, 0.0000), Au at (0.0000, 0.0000, 0.5000) and F at (0.0000, 0.0000, 0.2032).

The calculation puts the density at 3.594 g cm⁻³. For the volume, the calculation gives 20.2 A^3/atom. The spin magnetization comes out at 0.97 μB/f.u. The calculation puts the raw formation energy at -2.5613 eV per atom.

Tb3YHo2Se6 | GGA-PBE | optimized geometry

It has space group C2/m (No. 12), with a = 7.0321 Å, b = 12.2619 Å, c = 7.0845 Å, α = 90.00°, β = 109.44° and γ = 90.00°. The distinct sites, in fractional coordinates, are Tb at (0.0000, 0.0000, 0.0000), Tb at (0.0000, 0.3350, 0.0000), Y at (0.0000, 0.5000, 0.5000), Ho at (0.0000, 0.1663, 0.5000), Se at (0.2467, 0.0000, 0.7464) and Se at (0.2499, 0.1678, 0.2525).

The calculation puts the density at 7.894 g cm⁻³. For the volume, the calculation gives 24.0 A^3/atom. The spin magnetization comes out at 0.00 μB/f.u. The calculation puts the raw formation energy at -1.7566 eV per atom.

TbPr8Er5 | GGA-PBE | optimized geometry

It has space group I-4 (No. 82), with a = 9.7339 Å, b = 9.7339 Å, c = 10.3525 Å, α = 90.00°, β = 90.00° and γ = 90.00°. The distinct sites, in fractional coordinates, are Tb at (0.0000, 0.0000, 0.0000), Pr at (0.0679, 0.1717, 0.3448), Pr at (0.0901, 0.3211, 0.0025), Er at (0.0000, 0.5000, 0.2500) and Er at (0.1082, 0.2976, 0.6762).

The calculation puts the density at 7.186 g cm⁻³. For the volume, the calculation gives 35.0 A^3/atom. The spin magnetization comes out at 0.00 μB/f.u. For the calculated formation energy, the calculation gives 3.48 eV/f.u.

Sr2RePb | GGA-PBE | optimized geometry

It has space group C2/m (No. 12), with a = 10.0659 Å, b = 3.1326 Å, c = 7.3326 Å, α = 90.00°, β = 95.89° and γ = 90.00°. The distinct sites, in fractional coordinates, are Sr at (0.2462, 0.0000, 0.2290), Re at (0.0000, 0.5000, 0.0000) and Pb at (0.0000, 0.0000, 0.5000).

The calculation puts the density at 8.211 g cm⁻³. For the volume, the calculation gives 28.7 A^3/atom. The spin magnetization comes out at 0.00 μB/f.u. For the calculated formation energy, the calculation gives 3.31 eV/f.u.

Na3TlF4 | GGA-PBE | optimized geometry

It has space group Pmn2_1 (No. 31), with a = 7.7236 Å, b = 6.6770 Å, c = 6.0464 Å, α = 90.00°, β = 90.00° and γ = 90.00°. The distinct sites, in fractional coordinates, are Na at (0.0000, 0.1831, 0.0000), Na at (0.2485, 0.6612, 0.0026), Tl at (0.0000, 0.8378, 0.5393), F at (0.0000, 0.2194, 0.6335), F at (0.0000, 0.8445, 0.9762) and F at (0.2216, 0.3528, 0.1365).

The calculation puts the density at 3.721 g cm⁻³. For the volume, the calculation gives 19.5 A^3/atom. The spin magnetization comes out at 0.00 μB/f.u. The calculation puts the raw formation energy at -2.4157 eV per atom.

Tb3Sm6Y2Tm | GGA-PBE | optimized geometry

It has space group C2/m (No. 12), with a = 6.2278 Å, b = 10.7866 Å, c = 11.8509 Å, α = 90.00°, β = 100.06° and γ = 90.00°. The distinct sites, in fractional coordinates, are Tb at (0.0000, 0.0000, 0.0000), Tb at (0.0000, 0.3334, 0.0000), Sm at (0.2487, 0.5000, 0.2504), Sm at (0.2504, 0.1661, 0.2504), Y at (0.0000, 0.1667, 0.5000) and Tm at (0.0000, 0.5000, 0.5000).

The calculation puts the density at 7.311 g cm⁻³. For the volume, the calculation gives 32.7 A^3/atom. The spin magnetization comes out at 0.00 μB/f.u. For the calculated formation energy, the calculation gives 0.17 eV/f.u.

CsGe2Ir2 | GGA-PBE | optimized geometry

It has space group I4/mmm (No. 139), with a = 4.2611 Å, b = 4.2611 Å, c = 14.4774 Å, α = 90.00°, β = 90.00° and γ = 90.00°. The distinct sites, in fractional coordinates, are Cs at (0.0000, 0.0000, 0.0000), Ge at (0.0000, 0.5000, 0.2500) and Ir at (0.0000, 0.0000, 0.3353).

The calculation puts the density at 8.372 g cm⁻³. For the volume, the calculation gives 26.3 A^3/atom. The spin magnetization comes out at 0.00 μB/f.u. For the calculated formation energy, the calculation gives 0.37 eV/f.u.

LaTb5Tm6 | GGA-PBE | optimized geometry

It has space group Immm (No. 71), with a = 5.0147 Å, b = 9.9571 Å, c = 15.0850 Å, α = 90.00°, β = 90.00° and γ = 90.00°. The distinct sites, in fractional coordinates, are La at (0.0000, 0.0000, 0.0000), Tb at (0.0000, 0.0000, 0.3328), Tb at (0.0000, 0.5000, 0.0000), Tb at (0.0000, 0.5000, 0.3310), Tm at (0.0000, 0.2467, 0.5000) and Tm at (0.0000, 0.2515, 0.1672).

The calculation puts the density at 8.585 g cm⁻³. For the volume, the calculation gives 31.4 A^3/atom. The spin magnetization comes out at 0.00 μB/f.u. For the calculated formation energy, the calculation gives 0.32 eV/f.u.